No. 1
11
Lattice="6.665 0.000 0.000 0.000 3.340 0.000 -0.929 0.000 7.657" Properties=species:S:1:pos:R:3 comment="Hf3As4C4 | OQMD via LeMat-Bulk | PBE-GGA | optimized geometry" magmom_total_mub_per_cell=0.01 space_group="Pm (6)" e_tot_ev_per_atom=-7.55 pbc="T T T"
C 0.397 1.670 4.703
C 2.813 0.000 7.443
Hf 0.768 0.000 3.172
Hf 4.973 1.670 4.349
Hf 0.667 0.000 6.468
As 0.985 1.670 0.952
As 3.762 0.000 1.756
As 2.333 1.670 5.251
As 4.544 0.000 6.633
C 2.601 1.670 2.224
C 5.222 0.000 2.973


No. 2
6
Lattice="-2.566 -2.749 -0.737 3.235 0.200 -2.045 3.516 -4.652 5.108" Properties=species:S:1:pos:R:3 comment="GdScBe2Si2 | OQMD via LeMat-Bulk | PBE-GGA | optimized geometry" magmom_total_mub_per_cell=0.02 space_group="P-3m1 (164)" e_tot_ev_per_atom=-5.51 pbc="T T T"
Be 0.308 -3.011 0.194
Be 3.877 -4.191 2.133
Gd 0.000 0.000 0.000
Sc 1.758 -2.326 2.554
Si 2.237 -2.021 -0.250
Si 1.948 -5.180 2.576


No. 3
16
Lattice="7.802 0.000 0.000 0.000 7.796 0.000 0.000 0.000 6.170" Properties=species:S:1:pos:R:3 comment="HgPbSO | OQMD via LeMat-Bulk | PBE-GGA | optimized geometry" space_group="P2_12_12_1 (19)" e_above_lowest_polymorph_ev_per_fu=0.14 pbc="T T T"
Hg 4.831 2.499 0.132
Hg 2.971 6.397 2.953
Hg 6.871 5.297 3.217
Hg 0.930 1.399 6.038
O 5.019 0.843 1.380
O 2.783 4.741 1.705
O 6.684 6.953 4.465
O 1.118 3.055 4.790
Pb 5.297 6.597 0.090
Pb 2.505 2.699 2.995
Pb 6.406 1.199 3.175
Pb 1.396 5.097 6.080
S 7.290 3.733 1.514
S 0.511 7.631 1.571
S 4.412 4.064 4.599
S 3.390 0.165 4.656


No. 4
9
Lattice="-0.489 -4.646 5.071 5.388 -0.144 -4.300 1.551 1.889 1.880" Properties=species:S:1:pos:R:3 comment="Ga2Ni | OQMD via LeMat-Bulk | PBE-GGA | optimized geometry" magmom_total_mub_per_cell=0.00 space_group="P-62m (189)" e_tot_ev_per_atom=-4.09 pbc="T T T"
Ga -0.136 -1.297 1.415
Ga 1.504 -0.040 -1.200
Ga 3.532 -3.454 0.556
Ga 0.471 -1.947 4.096
Ga 2.626 -0.865 1.231
Ga 4.129 0.855 -1.736
Ni 1.470 -3.146 1.947
Ni 3.429 -1.645 -1.177
Ni 0.775 0.944 0.940


No. 5
8
Lattice="3.600 0.000 0.000 -1.800 3.117 0.000 0.000 0.000 15.946" Properties=species:S:1:pos:R:3 comment="Ho3LuPb2C2 | OQMD via LeMat-Bulk | PBE-GGA | optimized geometry" magmom_total_mub_per_cell=0.01 space_group="P3m1 (156)" e_tot_ev_per_atom=-6.03 pbc="T T T"
C 0.000 2.078 7.976
C 0.000 2.078 15.915
Ho 1.800 1.039 1.301
Ho 1.800 1.039 6.654
Ho 0.000 0.000 9.294
Lu 0.000 0.000 14.648
Pb 0.000 0.000 3.980
Pb 1.800 1.039 11.990


No. 6
4
Lattice="0.000 3.001 3.001 3.001 0.000 3.001 3.001 3.001 0.000" Properties=species:S:1:pos:R:3 comment="FeCoAgGe | OQMD via LeMat-Bulk | PBE-GGA | optimized geometry" magmom_total_mub_per_cell=3.21 space_group="F-43m (216)" e_above_lowest_polymorph_ev_per_fu=0.00 pbc="T T T"
Ag 3.001 3.001 3.001
Co 4.502 4.502 4.502
Fe 1.501 1.501 1.501
Ge 0.000 0.000 0.000